Entry A
A plane-wave DFT calculation with PBE-GGA was carried out for an optimized crystal structure of Cr2MoAu.

Output
As for the crystal system: monoclinic.

a b c (Å): 2.7349 3.8843 5.5393
angles (deg): 90.00 97.85 90.00
With the nearest neighbours (Å) after each atom.
Space group Pm (No. 6)
Symmetry-distinct sites (fractional):
Cr  0.0000  0.0000  0.0000 [1 per cell]  1 Mo 2.37, 2 Cr 2.38
Cr  0.3889  0.5000  0.1837 [1 per cell]  2 Cr 2.38, 2 Mo 2.54, 1 Au 2.65
Mo  0.8395  0.0000  0.4092 [1 per cell]  3 Cr 2.37-2.54
Au  0.4216  0.5000  0.7073 [1 per cell]  6 Cr 2.65-2.89, 2 Au 2.73, 4 Mo 2.88

***

Entry B
A plane-wave DFT calculation with PBE-GGA was carried out for an optimized crystal structure of Cr2MoAu.

Output
As for the crystal system: tetragonal.

a b c (Å): 2.6630 2.6630 8.2579
angles (deg): 90.00 90.00 90.00
With the nearest neighbours (Å) after each atom.
Space group P4/mmm (No. 123)
Symmetry-distinct sites (fractional):
Cr  0.0000  0.0000  0.2451 [2 per cell]  4 Cr 2.66, 4 Mo 2.76, 4 Au 2.82
Mo  0.5000  0.5000  0.0000 [1 per cell]  4 Mo 2.66, 8 Cr 2.76
Au  0.5000  0.5000  0.5000 [1 per cell]  4 Au 2.66, 8 Cr 2.82

***

Entry C
A plane-wave DFT calculation with PBE-GGA was carried out for an optimized crystal structure of Cr2MoAu.

Output
As for the crystal system: orthorhombic.

a b c (Å): 3.2335 4.2512 8.2783
angles (deg): 90.00 90.00 90.00
With the nearest neighbours (Å) after each atom.
Space group Imm2 (No. 44)
Symmetry-distinct sites (fractional):
Cr  0.0000  0.0000  0.0000 [2 per cell]  2 Cr 2.39, 2 Mo 2.60
Cr  0.0000  0.5000  0.2880 [2 per cell]  2 Cr 2.39
Mo  0.0000  0.5000  0.7456 [2 per cell]  6 Cr 2.60-2.69, 4 Au 2.79-2.83
Au  0.0000  0.0000  0.5207 [2 per cell]  8 Cr 2.68-2.87, 4 Mo 2.79-2.83

***

Stability check: which of them is least stable? entry B.

***

Entry A
A plane-wave DFT calculation with PBE-GGA was carried out for an optimized crystal structure of Cr2MoAu.

Output
As for the crystal system: trigonal.

a b c (Å): 2.9079 2.9079 25.0253
angles (deg): 90.00 90.00 120.00
With the nearest neighbours (Å) after each atom.
Space group R-3m (No. 166, hexagonal axes)
Symmetry-distinct sites (fractional):
Cr  0.0000  0.0000  0.2430 [6 per cell]  3 Mo 2.54, 3 Au 2.82
Mo  0.0000  0.0000  0.5000 [3 per cell]  6 Cr 2.54
Au  0.0000  0.0000  0.0000 [3 per cell]  6 Cr 2.82, 6 Au 2.91

***

Entry B
A plane-wave DFT calculation with PBE-GGA was carried out for an optimized crystal structure of Cr2MoAu.

Output
As for the crystal system: tetragonal.

a b c (Å): 3.1739 3.1739 5.7829
angles (deg): 90.00 90.00 90.00
With the nearest neighbours (Å) after each atom.
Space group P4mm (No. 99)
Symmetry-distinct sites (fractional):
Cr  0.0000  0.0000  0.0000 [1 per cell]  1 Mo 2.34, 4 Cr 2.49
Cr  0.5000  0.5000  0.1874 [1 per cell]  4 Cr 2.49, 4 Mo 2.57, 1 Au 2.75
Mo  0.0000  0.0000  0.4046 [1 per cell]  5 Cr 2.34-2.57
Au  0.5000  0.5000  0.7125 [1 per cell]  6 Cr 2.75-3.04, 4 Mo 2.86

***

Entry C
A plane-wave DFT calculation with PBE-GGA was carried out for an optimized crystal structure of Cr2MoAu.

Output
As for the crystal system: monoclinic.

a b c (Å): 2.6940 4.0824 5.5256
angles (deg): 90.00 100.67 90.00
With the nearest neighbours (Å) after each atom.
Space group P2/m (No. 10)
Symmetry-distinct sites (fractional):
Cr  0.0641  0.0000  0.3015 [2 per cell]  1 Cr 2.28, 2 Mo 2.50
Mo  0.5000  0.5000  0.5000 [1 per cell]  4 Cr 2.50, 2 Mo 2.69, 2 Au 2.76
Au  0.5000  0.5000  0.0000 [1 per cell]  2 Au 2.69, 2 Mo 2.76, 8 Cr 2.88-3.01

***

Stability check: which of them is least stable? entry A.

***

Entry A
A plane-wave DFT calculation with PBE-GGA was carried out for an optimized crystal structure of Cr2MoAu.

Output
As for the crystal system: tetragonal.

a b c (Å): 6.8777 6.8777 5.6734
angles (deg): 90.00 90.00 90.00
With the nearest neighbours (Å) after each atom.
Space group I-42d (No. 122)
Symmetry-distinct sites (fractional):
Cr  0.2269  0.2500  0.1250 [8 per cell]  2 Mo 2.43, 2 Au 2.64
Mo  0.0000  0.0000  0.0000 [4 per cell]  4 Cr 2.43
Au  0.0000  0.0000  0.5000 [4 per cell]  4 Cr 2.64, 2 Mo 2.84

***

Entry B
A plane-wave DFT calculation with PBE-GGA was carried out for an optimized crystal structure of Cr2MoAu.

Output
As for the crystal system: tetragonal.

a b c (Å): 4.1985 4.1985 3.4030
angles (deg): 90.00 90.00 90.00
With the nearest neighbours (Å) after each atom.
Space group P4/mmm (No. 123)
Symmetry-distinct sites (fractional):
Cr  0.0000  0.5000  0.0000 [2 per cell]  4 Mo 2.70, 4 Au 2.70, 4 Cr 2.97
Mo  0.0000  0.0000  0.5000 [1 per cell]  8 Cr 2.70, 4 Au 2.97
Au  0.5000  0.5000  0.5000 [1 per cell]  8 Cr 2.70, 4 Mo 2.97

***

Stability check: which of them is least stable? entry A.

***

Entry A
A plane-wave DFT calculation with PBE-GGA was carried out for an optimized crystal structure of Cr2MoAu.

Output
As for the crystal system: monoclinic.

a b c (Å): 8.8125 2.7365 4.8366
angles (deg): 90.00 98.46 90.00
With the nearest neighbours (Å) after each atom.
Space group C2/m (No. 12)
Symmetry-distinct sites (fractional):
Cr  0.2474  0.0000  0.2590 [4 per cell]  3 Mo 2.62-2.72, 6 Cr 2.70-2.86, 3 Au 2.71-2.72
Mo  0.0000  0.0000  0.5000 [2 per cell]  6 Cr 2.62-2.72, 2 Mo 2.74, 4 Au 2.78
Au  0.0000  0.5000  0.0000 [2 per cell]  6 Cr 2.71-2.72, 2 Au 2.74, 4 Mo 2.78

***

Entry B
A plane-wave DFT calculation with PBE-GGA was carried out for an optimized crystal structure of Cr2MoAu.

Output
As for the crystal system: tetragonal.

a b c (Å): 3.1591 3.1591 6.1090
angles (deg): 90.00 90.00 90.00
With the nearest neighbours (Å) after each atom.
Space group P4/mmm (No. 123)
Symmetry-distinct sites (fractional):
Cr  0.0000  0.0000  0.2281 [2 per cell]  4 Mo 2.63, 4 Au 2.78, 1 Cr 2.79
Mo  0.5000  0.5000  0.0000 [1 per cell]  8 Cr 2.63
Au  0.5000  0.5000  0.5000 [1 per cell]  8 Cr 2.78, 2 Mo 3.05

***

Stability check: which of them is least stable? entry A.

***

Entry A
A plane-wave DFT calculation with PBE-GGA was carried out for an optimized crystal structure of Cr2MoAu.

Output
As for the crystal system: trigonal.

a b c (Å): 2.7899 2.7899 26.0515
angles (deg): 90.00 90.00 120.00
With the nearest neighbours (Å) after each atom.
Space group R3m (No. 160, hexagonal axes)
Symmetry-distinct sites (fractional):
Cr  0.0000  0.0000  0.0000 [3 per cell]  3 Cr 2.31
Cr  0.0000  0.0000  0.2700 [3 per cell]  3 Cr 2.31
Mo  0.0000  0.0000  0.5183 [3 per cell]  3 Cr 2.74, 6 Mo 2.79, 3 Au 2.96
Au  0.0000  0.0000  0.7563 [3 per cell]  6 Au 2.79, 3 Cr 2.84, 3 Mo 2.96

***

Entry B
A plane-wave DFT calculation with PBE-GGA was carried out for an optimized crystal structure of Cr2MoAu.

Output
As for the crystal system: orthorhombic.

a b c (Å): 3.1265 4.3170 8.5964
angles (deg): 90.00 90.00 90.00
With the nearest neighbours (Å) after each atom.
Space group Cmmm (No. 65)
Symmetry-distinct sites (fractional):
Cr  0.0000  0.0000  0.2374 [4 per cell]  2 Mo 2.57, 4 Cr 2.67, 2 Au 2.75
Mo  0.0000  0.5000  0.0000 [2 per cell]  4 Cr 2.57, 4 Mo 2.67
Au  0.0000  0.5000  0.5000 [2 per cell]  4 Au 2.67, 4 Cr 2.75

***

Stability check: which of them is least stable? entry A.